# 1
Below is crystalline RbGaAg at its relaxed geometry, with properties calculated at the PBE-GGA level.

Structure (POSCAR):
```
RbGaAg
1.0
8.929 0.000 0.000
0.000 4.212 0.000
-0.432 0.000 11.741
Rb Ga Ag
4 4 4
Cartesian
2.084 0.000 2.325
1.948 2.106 9.416
6.549 2.106 2.325
6.412 0.000 9.416
0.361 2.106 4.676
3.671 0.000 7.065
4.826 0.000 4.676
8.135 2.106 7.065
1.098 0.000 6.419
2.934 2.106 5.322
5.562 2.106 6.419
7.399 0.000 5.322
```

E above lowest polymorph = 0.03 eV per formula unit
Space-group type = No. 12
DFT formation energy = 0.007 eV/atom

=====

# 2
Below is crystalline Sb2Br at its relaxed geometry, with properties calculated at the PBE-GGA level.

Structure (POSCAR):
```
Sb2Br
1.0
4.101 0.000 0.000
0.000 10.305 0.000
0.000 0.000 5.624
Sb Br
4 2
Cartesian
1.019 0.968 0.000
1.032 6.120 2.812
3.069 4.184 2.812
3.082 9.337 0.000
0.000 0.000 2.812
2.051 5.152 0.000
```

E above lowest polymorph = 0.86 eV per formula unit
Space-group type = No. 58
Formation energy without anion corrections = 0.10 eV per atom

=====

# 3
Below is crystalline Ga2Rh2Se at its relaxed geometry, with properties calculated at the PBE-GGA level.

Structure (POSCAR):
```
Ga2Rh2Se
1.0
3.608 0.000 0.000
0.000 3.608 0.000
0.000 0.000 12.597
Ga Rh Se
4 4 2
Cartesian
0.000 1.804 3.149
0.000 1.804 9.448
1.804 0.000 3.149
1.804 0.000 9.448
0.000 0.000 1.353
0.000 0.000 11.244
1.804 1.804 4.946
1.804 1.804 7.651
0.000 0.000 6.298
1.804 1.804 0.000
```

E above lowest polymorph = 0.76 eV per formula unit
Space-group type = No. 139
Formation energy without anion corrections = -0.24 eV per atom

=====

# 4
Below is crystalline La2PrTm9 at its relaxed geometry, with properties calculated at the PBE-GGA level.

Structure (POSCAR):
```
La2PrTm9
1.0
5.026 0.000 0.000
0.000 5.026 0.000
0.000 0.000 15.088
La Pr Tm
2 1 9
Cartesian
0.000 0.000 2.505
0.000 0.000 12.583
0.000 0.000 7.544
0.000 2.513 0.000
0.000 2.513 5.055
0.000 2.513 10.033
2.513 0.000 0.000
2.513 0.000 5.055
2.513 0.000 10.033
2.513 2.513 2.526
2.513 2.513 7.544
2.513 2.513 12.562
```

Space-group type = No. 123
DFT formation energy = 0.038 eV/atom

=====

# 5
Below is crystalline PrNd5In5 at its relaxed geometry, with properties calculated at the PBE-GGA level.

Structure (POSCAR):
```
PrNd5In5
1.0
8.778 -2.995 0.000
8.778 2.995 0.000
-0.012 0.000 6.671
Pr Nd In
1 5 5
Cartesian
0.000 0.000 0.000
-0.006 0.000 3.335
5.660 0.000 0.010
6.014 0.000 3.346
11.531 0.000 3.325
11.885 0.000 6.661
2.890 0.000 1.757
2.886 0.000 4.911
8.778 0.000 0.000
14.659 0.000 1.760
14.654 0.000 4.914
```

Space-group type = No. 12
DFT formation energy = -0.223 eV/atom

=====

# 6
Below is crystalline CdTcCl2 at its relaxed geometry, with properties calculated at the PBE-GGA level.

Structure (POSCAR):
```
CdTcCl2
1.0
2.984 0.000 0.000
0.000 5.645 0.000
0.000 0.000 10.069
Cd Tc Cl
2 2 4
Cartesian
0.000 0.000 0.000
1.492 2.822 0.000
0.000 0.000 5.034
1.492 2.822 5.034
0.000 2.822 3.155
0.000 2.822 6.914
1.492 0.000 3.155
1.492 0.000 6.914
```

E above lowest polymorph = 0.77 eV per formula unit
Space-group type = No. 65
Formation energy without anion corrections = -0.01 eV per atom

=====

# 7
Below is crystalline Y2ZrF at its relaxed geometry, with properties calculated at the PBE-GGA level.

Structure (POSCAR):
```
Y2ZrF
1.0
7.201 0.000 0.000
0.000 7.201 0.000
0.000 0.000 7.687
Y Zr F
8 4 4
Cartesian
1.012 1.800 0.961
1.800 4.612 2.883
1.800 6.190 6.726
2.589 1.800 4.804
4.612 5.401 4.804
5.401 1.012 6.726
5.401 2.589 2.883
6.190 5.401 0.961
0.000 0.000 3.843
0.000 3.601 5.765
3.601 0.000 1.922
3.601 3.601 0.000
0.000 0.000 0.000
0.000 3.601 1.922
3.601 0.000 5.765
3.601 3.601 3.843
```

E above lowest polymorph = 0.00 eV per formula unit
Space-group type = No. 122
Formation energy without anion corrections = -0.92 eV per atom

=====

# 8
Below is crystalline Li3LaHg3 at its relaxed geometry, with properties calculated at the PBE-GGA level.

Structure (POSCAR):
```
Li3LaHg3
1.0
7.043 0.000 0.000
0.000 7.043 0.000
0.000 0.000 7.043
Li La Hg
6 2 6
Cartesian
0.000 1.761 3.522
0.000 5.282 3.522
1.761 3.522 0.000
3.522 0.000 1.761
3.522 0.000 5.282
5.282 3.522 0.000
0.000 0.000 0.000
3.522 3.522 3.522
0.000 3.522 1.761
0.000 3.522 5.282
1.761 0.000 3.522
3.522 1.761 0.000
3.522 5.282 0.000
5.282 0.000 3.522
```

Space-group type = No. 223
DFT formation energy = -0.076 eV/atom

=====

For the records above, the corresponding E_tot values read -2.2752, -3.2087, -5.0888, -4.5349, -4.0698, -3.7551, -6.7525, -1.7293 eV/atom.
For the records above, the corresponding total moment values read 0.00, 0.00, 0.00, 0.03, 0.00, 0.00, 0.00, 0.00 μB/f.u..